Below is a relaxed structure of ErCo4Sn2Ge4, with properties calculated at the GGA-PBE level.

Cell lengths 6.276, 6.276, 6.276 Å; angles 116.75, 116.75, 95.73 degrees
Sites, in units of the cell vectors:
1 Co 0.576 0.241 0.000
2 Co 0.241 0.576 0.000
3 Co 0.759 0.759 0.335
4 Co 0.424 0.424 0.665
5 Er 0.000 0.000 0.000
6 Ge 0.874 0.523 0.000
7 Ge 0.523 0.874 0.000
8 Ge 0.477 0.477 0.350
9 Ge 0.126 0.126 0.650
10 Sn 0.500 0.000 0.500
11 Sn 0.000 0.500 0.500

For the total energy, the calculation gives -5.74 eV per atom. As for the symmetry: I-42m (121). The magnetization is 0.0016 μB/atom. The value obtained for the theoretical density is 8.476 Mg/m³.